Record 1
Material: SiTeI2N
Method: DFT, GGA-PBE
State: relaxed

Distance to the lowest polymorph of the same formula: 66.7 kJ per mole of atoms
E_tot: -2.92 eV per atom
Spin magnetization: 0.69 μB per formula unit
ρ: 4.6 g/cm3
E_form (uncorrected): 1.074 eV per atom

Unit cell a=6.2126 b=6.2126 c=3.9734 alpha=90.00 beta=90.00 gamma=90.00
Space group P4/mmm (No. 123)
Symmetry-distinct sites (fractional):
Si (0.0000, 0.0000, 0.0000)
Te (0.5000, 0.5000, 0.5000)
I (0.0000, 0.5000, 0.5000)
N (0.5000, 0.5000, 0.0000)

=====

Record 2
Material: Pm5YPb3
Method: DFT, GGA-PBE
State: relaxed

E_tot: -5.01 eV per atom
Spin magnetization: 3.26 μB per formula unit
ρ: 8.7 g/cm3

Unit cell a=9.6837 b=9.6837 c=6.7662 alpha=90.00 beta=90.00 gamma=120.00
Space group P6_3/mcm (No. 193)
Symmetry-distinct sites (fractional):
Pm (0.0000, 0.3331, 0.2500)
Pm (0.3333, 0.6667, 0.0000)
Y (0.0000, 0.0000, 0.0000)
Pb (0.0000, 0.3322, 0.7500)

=====

Record 3
Material: NpPaGe4
Method: DFT, GGA-PBE
State: relaxed

E_tot: -6.94 eV per atom
Spin magnetization: 5.09 μB per formula unit
ρ: 10.7 g/cm3

Unit cell a=7.7822 b=7.7822 c=7.7822 alpha=90.00 beta=90.00 gamma=90.00
Space group F-43m (No. 216)
Symmetry-distinct sites (fractional):
Np (0.0000, 0.0000, 0.0000)
Pa (0.2500, 0.2500, 0.2500)
Ge (0.1257, 0.1257, 0.6257)

=====

Record 4
Material: BeNbAu2
Method: DFT, GGA-PBE
State: relaxed

E_tot: -4.71 eV per atom
Spin magnetization: 0.00 μB per formula unit
ρ: 11.9 g/cm3

Unit cell a=3.8791 b=3.8791 c=18.4089 alpha=90.00 beta=90.00 gamma=90.00
Space group I-42d (No. 122)
Symmetry-distinct sites (fractional):
Be (0.0000, 0.0000, 0.0000)
Nb (0.0000, 0.0000, 0.5000)
Au (0.2364, 0.2500, 0.1250)

=====

Record 5
Material: BaLa4Se6
Method: DFT, GGA-PBE
State: relaxed

E_tot: -5.88 eV per atom
Spin magnetization: 0.00 μB per formula unit
ρ: 5.6 g/cm3
E_form (uncorrected): -2.014 eV per atom

Unit cell a=4.3505 b=14.3242 c=22.1010 alpha=90.00 beta=90.00 gamma=90.00
Space group Cmcm (No. 63)
Symmetry-distinct sites (fractional):
Ba (0.0000, 0.1592, 0.2500)
La (0.0000, 0.0945, 0.6287)
La (0.0000, 0.3625, 0.5407)
Se (0.0000, 0.0000, 0.0000)
Se (0.0000, 0.1748, 0.7500)
Se (0.0000, 0.2691, 0.0871)
Se (0.0000, 0.4582, 0.6609)

=====

Record 6
Material: Fe2NiRu
Method: DFT, GGA-PBE
State: relaxed

E_tot: -7.88 eV per atom
Spin magnetization: 5.25 μB per formula unit
ρ: 9.2 g/cm3

Unit cell a=2.5964 b=2.5964 c=25.0905 alpha=90.00 beta=90.00 gamma=120.00
Space group R-3m (No. 166, hexagonal axes)
Symmetry-distinct sites (fractional):
Fe (0.0000, 0.0000, 0.2473)
Ni (0.0000, 0.0000, 0.5000)
Ru (0.0000, 0.0000, 0.0000)

=====

Record 7
Material: MnNbCoTc
Method: DFT, GGA-PBE
State: relaxed

E_tot: -9.19 eV per atom
Spin magnetization: 4.00 μB per formula unit
ρ: 8.9 g/cm3

Unit cell a=6.1019 b=6.1019 c=6.1019 alpha=90.00 beta=90.00 gamma=90.00
Space group F-43m (No. 216)
Symmetry-distinct sites (fractional):
Mn (0.0000, 0.0000, 0.0000)
Nb (0.0000, 0.0000, 0.5000)
Co (0.2500, 0.2500, 0.2500)
Tc (0.2500, 0.2500, 0.7500)

=====

Record 8
Material: GaBrO2F
Method: DFT, GGA-PBE
State: relaxed

E_tot: -3.38 eV per atom
Spin magnetization: 0.00 μB per formula unit
ρ: 4.0 g/cm3
E_form (uncorrected): -0.086 eV per atom

Unit cell a=3.8023 b=3.8023 c=5.8152 alpha=90.00 beta=90.00 gamma=90.00
Space group P4/mmm (No. 123)
Symmetry-distinct sites (fractional):
Ga (0.0000, 0.0000, 0.0000)
Br (0.5000, 0.5000, 0.5000)
O (0.0000, 0.5000, 0.5000)
F (0.5000, 0.5000, 0.0000)

=====

Record 9
Material: BaPaN2F
Method: DFT, GGA-PBE
State: relaxed

E_tot: -7.99 eV per atom
Spin magnetization: 0.00 μB per formula unit
ρ: 7.4 g/cm3
E_form (uncorrected): -2.002 eV per atom

Unit cell a=4.3901 b=4.3901 c=4.8476 alpha=90.00 beta=90.00 gamma=90.00
Space group P4mm (No. 99)
Symmetry-distinct sites (fractional):
Ba (0.0000, 0.0000, 0.0000)
Pa (0.5000, 0.5000, 0.4219)
N (0.0000, 0.5000, 0.3588)
F (0.5000, 0.5000, 0.9156)

=====

Record 10
Material: CsSrAs2Br
Method: DFT, GGA-PBE
State: relaxed

Distance to the lowest polymorph of the same formula: 62.2 kJ per mole of atoms
E_tot: -2.41 eV per atom
Spin magnetization: 0.77 μB per formula unit
ρ: 3.6 g/cm3
E_form (uncorrected): 0.293 eV per atom

Unit cell a=5.7112 b=5.7112 c=6.3556 alpha=90.00 beta=90.00 gamma=90.00
Space group P4/mmm (No. 123)
Symmetry-distinct sites (fractional):
Cs (0.0000, 0.0000, 0.0000)
Sr (0.5000, 0.5000, 0.5000)
As (0.0000, 0.5000, 0.0000)
Br (0.0000, 0.0000, 0.5000)

=====

Record 11
Material: KRe2Ni
Method: DFT, GGA-PBE
State: relaxed

Distance to the lowest polymorph of the same formula: 55.0 kJ per mole of atoms
E_tot: -6.68 eV per atom
Spin magnetization: 0.00 μB per formula unit
ρ: 11.4 g/cm3

Unit cell a=2.6330 b=5.1783 c=5.0106 alpha=90.00 beta=90.69 gamma=90.00
Space group P2/m (No. 10)
Symmetry-distinct sites (fractional):
K (0.0000, 0.0000, 0.0000)
Re (0.3258, 0.5000, 0.7365)
Ni (0.5000, 0.0000, 0.5000)

=====

Record 12
Material: BaIn
Method: DFT, GGA-PBE
State: relaxed

E_tot: -2.14 eV per atom
Spin magnetization: 1.28 μB per formula unit
ρ: 3.5 g/cm3

Unit cell a=6.1759 b=6.1759 c=7.1639 alpha=90.00 beta=90.00 gamma=120.00
Space group P6_3/mmc (No. 194)
Symmetry-distinct sites (fractional):
Ba (0.3333, 0.6667, 0.2500)
In (0.3333, 0.6667, 0.7500)

=====

Record 13
Material: TaRuCl
Method: DFT, GGA-PBE
State: relaxed

Distance to the lowest polymorph of the same formula: 0.0 kJ per mole of atoms
E_tot: -8.19 eV per atom
Spin magnetization: 0.00 μB per formula unit
ρ: 8.6 g/cm3
E_form (uncorrected): -0.530 eV per atom

Unit cell a=3.3756 b=3.0427 c=11.9696 alpha=90.00 beta=90.19 gamma=90.00
Space group P2_1 (No. 4)
Symmetry-distinct sites (fractional):
Ta (0.2477, 0.0000, 0.3112)
Ru (0.2510, 0.9155, 0.5750)
Cl (0.2459, 0.4716, 0.1461)

=====

Record 14
Material: Ba2HfSe3S
Method: DFT, GGA-PBE
State: relaxed

E_tot: -5.87 eV per atom
Spin magnetization: 0.00 μB per formula unit
ρ: 5.6 g/cm3
E_form (uncorrected): -1.815 eV per atom

Unit cell a=4.9693 b=5.1931 c=16.5656 alpha=90.00 beta=90.00 gamma=90.00
Space group Immm (No. 71)
Symmetry-distinct sites (fractional):
Ba (0.0000, 0.0000, 0.1411)
Hf (0.0000, 0.0000, 0.5000)
Se (0.0000, 0.0000, 0.3365)
Se (0.0000, 0.5000, 0.5000)
S (0.0000, 0.5000, 0.0000)

=====

Record 15
Material: NdGdTh2
Method: DFT, GGA-PBE
State: relaxed

Distance to the lowest polymorph of the same formula: 11.1 kJ per mole of atoms
E_tot: -8.24 eV per atom
Spin magnetization: 7.15 μB per formula unit
ρ: 9.7 g/cm3

Unit cell a=8.0674 b=8.0674 c=8.0674 alpha=90.00 beta=90.00 gamma=90.00
Space group Fm-3m (No. 225)
Symmetry-distinct sites (fractional):
Nd (0.0000, 0.0000, 0.0000)
Gd (0.0000, 0.0000, 0.5000)
Th (0.2500, 0.2500, 0.2500)

=====

Record 16
Material: ThNp2Tl3Te6
Method: DFT, GGA-PBE
State: relaxed

E_tot: -5.61 eV per atom
Spin magnetization: 9.00 μB per formula unit
ρ: 8.0 g/cm3
E_form (uncorrected): -0.669 eV per atom

Unit cell a=7.7954 b=13.5002 c=8.6464 alpha=90.00 beta=107.48 gamma=90.00
Space group C2/m (No. 12)
Symmetry-distinct sites (fractional):
Th (0.0000, 0.0000, 0.0000)
Np (0.0000, 0.3334, 0.0000)
Tl (0.0000, 0.1671, 0.5000)
Tl (0.0000, 0.5000, 0.5000)
Te (0.2390, 0.1664, 0.2179)
Te (0.2400, 0.5000, 0.2182)

=====

Record 17
Material: Ge6Bi4O19
Method: DFT, GGA-PBE
State: relaxed

E_tot: -6.09 eV per atom
Spin magnetization: 2.01 μB per formula unit
ρ: 7.5 g/cm3
E_form (uncorrected): -1.354 eV per atom

Unit cell a=8.8688 b=8.8688 c=8.8688 alpha=90.00 beta=90.00 gamma=90.00
Space group I23 (No. 197)
Symmetry-distinct sites (fractional):
Ge (0.0000, 0.3386, 0.5000)
Bi (0.1583, 0.1583, 0.8417)
O (0.0000, 0.0000, 0.0000)
O (0.0000, 0.0000, 0.3533)
O (0.0195, 0.3290, 0.2869)

=====

Record 18
Material: CsTl2B2O6
Method: DFT, GGA-PBE
State: relaxed

E_tot: -5.97 eV per atom
Spin magnetization: 0.00 μB per formula unit
ρ: 5.1 g/cm3
E_form (uncorrected): -1.542 eV per atom

Unit cell a=5.6065 b=6.0255 c=7.2777 alpha=109.81 beta=109.52 gamma=93.70
Space group P-1 (No. 2)
Symmetry-distinct sites (fractional):
Cs (0.0000, 0.0000, 0.0000)
Tl (0.2981, 0.7308, 0.4759)
B (0.2848, 0.2616, 0.6768)
O (0.0874, 0.2799, 0.7488)
O (0.3198, 0.3744, 0.5444)
O (0.4641, 0.1183, 0.7266)

=====

Record 19
Material: CaCoB3Os
Method: DFT, GGA-PBE
State: relaxed

E_tot: -6.91 eV per atom
Spin magnetization: 0.00 μB per formula unit
ρ: 7.1 g/cm3

Unit cell a=5.0865 b=5.9611 c=5.5805 alpha=90.00 beta=117.00 gamma=90.00
Space group P2_1/m (No. 11)
Symmetry-distinct sites (fractional):
Ca (0.2304, 0.2500, 0.4611)
Co (0.0900, 0.7500, 0.1802)
B (0.1806, 0.0000, 0.0003)
B (0.2780, 0.7500, 0.5557)
Os (0.4726, 0.7500, 0.9442)

=====

Record 20
Material: Pr2ZrRh
Method: DFT, GGA-PBE
State: relaxed

E_tot: -6.17 eV per atom
Spin magnetization: 0.00 μB per formula unit
ρ: 7.2 g/cm3

Unit cell a=3.4906 b=3.4906 c=31.3539 alpha=90.00 beta=90.00 gamma=120.00
Space group R-3m (No. 166, hexagonal axes)
Symmetry-distinct sites (fractional):
Pr (0.0000, 0.0000, 0.1015)
Zr (0.0000, 0.0000, 0.0000)
Rh (0.0000, 0.0000, 0.5000)